DFT (PBE-GGA) results for a geometry-optimized NaNdSeO structure.

Calculated values
- SG = P2_1, No. 4
- calculated volume (A^3/atom) = 22.39
- excess energy over the best structure of this formula in the dataset (eV/f.u.) = 0.00

Structure (POSCAR):
```
NaNdSeO
1.0
5.797 0.000 0.000
0.000 5.792 0.000
-2.375 0.000 10.669
Na Nd Se O
4 4 4 4
direct
0.036 0.000 0.092
0.461 0.998 0.908
0.539 0.498 0.092
0.964 0.500 0.908
0.048 0.302 0.608
0.452 0.302 0.392
0.548 0.802 0.608
0.952 0.802 0.392
0.064 0.494 0.182
0.437 0.492 0.818
0.563 0.992 0.182
0.936 0.994 0.818
0.250 0.056 0.500
0.250 0.556 0.500
0.750 0.056 0.500
0.750 0.556 0.500
```

***

DFT (PBE-GGA) results for a geometry-optimized NaNdSeO structure.

Calculated values
- SG = P2_1/c, No. 14
- calculated volume (A^3/atom) = 21.47
- excess energy over the best structure of this formula in the dataset (eV/f.u.) = 0.16

Structure (POSCAR):
```
NaNdSeO
1.0
6.867 0.000 0.000
0.000 7.666 0.000
-1.300 0.000 6.527
Na Nd Se O
4 4 4 4
direct
0.098 0.232 0.492
0.098 0.268 0.992
0.902 0.732 0.008
0.902 0.768 0.508
0.443 0.621 0.767
0.443 0.879 0.267
0.557 0.121 0.733
0.557 0.379 0.233
0.193 0.571 0.328
0.193 0.929 0.828
0.807 0.071 0.172
0.807 0.429 0.672
0.402 0.159 0.396
0.402 0.341 0.896
0.598 0.659 0.104
0.598 0.841 0.604
```

***

DFT (PBE-GGA) results for a geometry-optimized NaNdSeO structure.

Calculated values
- SG = Pmc2_1, No. 26
- calculated volume (A^3/atom) = 27.41
- excess energy over the best structure of this formula in the dataset (eV/f.u.) = 0.89

Structure (POSCAR):
```
NaNdSeO
1.0
4.528 0.000 0.000
0.000 7.515 0.000
0.000 0.000 6.444
Na Nd Se O
2 2 2 2
direct
0.000 0.209 0.000
0.000 0.791 0.500
0.500 0.361 0.416
0.500 0.639 0.916
0.000 0.171 0.553
0.000 0.829 0.053
0.500 0.378 0.074
0.500 0.622 0.574
```

***

DFT (PBE-GGA) results for a geometry-optimized NaNdTeO structure.

Calculated values
- SG = P2_1/c, No. 14
- calculated volume (A^3/atom) = 24.24
- excess energy over the best structure of this formula in the dataset (eV/f.u.) = 0.23

Structure (POSCAR):
```
NaNdTeO
1.0
7.315 0.000 0.000
0.000 7.847 0.000
-1.164 0.000 6.755
Na Nd Te O
4 4 4 4
direct
0.111 0.213 0.480
0.111 0.287 0.980
0.889 0.713 0.020
0.889 0.787 0.520
0.455 0.623 0.778
0.455 0.877 0.278
0.545 0.123 0.722
0.545 0.377 0.222
0.188 0.569 0.338
0.188 0.931 0.838
0.812 0.069 0.162
0.812 0.431 0.662
0.413 0.155 0.397
0.413 0.345 0.897
0.587 0.655 0.103
0.587 0.845 0.603
```

***

DFT (PBE-GGA) results for a geometry-optimized NaNdTeO structure.

Calculated values
- SG = P4/nmm, No. 129
- calculated volume (A^3/atom) = 22.97
- excess energy over the best structure of this formula in the dataset (eV/f.u.) = 0.00

Structure (POSCAR):
```
NaNdTeO
1.0
4.264 0.000 0.000
0.000 4.264 0.000
0.000 0.000 10.107
Na Nd Te O
2 2 2 2
direct
0.250 0.750 0.000
0.750 0.250 0.000
0.250 0.250 0.394
0.750 0.750 0.606
0.250 0.250 0.789
0.750 0.750 0.211
0.250 0.750 0.500
0.750 0.250 0.500
```

***

DFT (PBE-GGA) results for a geometry-optimized NaNdTeO structure.

Calculated values
- SG = Pmc2_1, No. 26
- calculated volume (A^3/atom) = 27.81
- excess energy over the best structure of this formula in the dataset (eV/f.u.) = 0.73

Structure (POSCAR):
```
NaNdTeO
1.0
4.280 0.000 0.000
0.000 7.200 0.000
0.000 0.000 7.218
Na Nd Te O
2 2 2 2
direct
0.000 0.161 0.000
0.000 0.839 0.500
0.500 0.470 0.301
0.500 0.530 0.801
0.000 0.267 0.561
0.000 0.733 0.061
0.500 0.313 0.029
0.500 0.687 0.529
```

***

DFT (PBE-GGA) results for a geometry-optimized NaNdZnO3 structure.

Calculated values
- SG = Cmcm, No. 63
- calculated volume (A^3/atom) = 14.69

Structure (POSCAR):
```
NaNdZnO3
1.0
1.777 -5.072 0.000
1.777 5.072 0.000
0.000 0.000 9.779
Na Nd Zn O
2 2 2 6
direct
0.236 0.764 0.750
0.764 0.236 0.250
0.500 0.500 0.000
0.500 0.500 0.500
0.043 0.957 0.250
0.957 0.043 0.750
0.133 0.867 0.079
0.133 0.867 0.421
0.435 0.565 0.250
0.565 0.435 0.750
0.867 0.133 0.579
0.867 0.133 0.921
```

***

DFT (PBE-GGA) results for a geometry-optimized NaNdOs structure.

Calculated values
- SG = F-43m, No. 216
- calculated volume (A^3/atom) = 25.21
- excess energy over the best structure of this formula in the dataset (eV/f.u.) = 0.00

Structure (POSCAR):
```
NaNdOs
1.0
0.000 3.357 3.357
3.357 0.000 3.357
3.357 3.357 0.000
Na Nd Os
1 1 1
direct
0.000 0.000 0.000
0.500 0.500 0.500
0.250 0.250 0.250
```

***

DFT (PBE-GGA) results for a geometry-optimized NaNd2OsS6 structure.

Calculated values
- SG = P2_1/c, No. 14
- calculated volume (A^3/atom) = 21.63

Structure (POSCAR):
```
NaNd2OsS6
1.0
6.414 0.000 0.000
0.000 7.189 0.000
-6.336 0.000 9.383
Na Nd Os S
2 4 2 12
direct
0.000 0.000 0.000
0.000 0.500 0.500
0.300 0.110 0.753
0.300 0.390 0.253
0.700 0.610 0.747
0.700 0.890 0.247
0.500 0.000 0.500
0.500 0.500 0.000
0.132 0.033 0.267
0.132 0.467 0.767
0.245 0.666 0.059
0.245 0.834 0.559
0.412 0.204 0.062
0.412 0.296 0.562
0.588 0.704 0.438
0.588 0.796 0.938
0.755 0.166 0.441
0.755 0.334 0.941
0.868 0.533 0.233
0.868 0.967 0.733
```

***

DFT (PBE-GGA) results for a geometry-optimized NaNd2OsSe6 structure.

Calculated values
- SG = P2_1/c, No. 14
- calculated volume (A^3/atom) = 24.54

Structure (POSCAR):
```
NaNd2OsSe6
1.0
6.738 0.000 0.000
0.000 7.488 0.000
-6.583 0.000 9.727
Na Nd Os Se
2 4 2 12
direct
0.000 0.000 0.000
0.000 0.500 0.500
0.304 0.121 0.753
0.304 0.379 0.253
0.696 0.621 0.747
0.696 0.879 0.247
0.500 0.000 0.500
0.500 0.500 0.000
0.119 0.031 0.266
0.119 0.469 0.766
0.241 0.663 0.061
0.241 0.837 0.561
0.417 0.198 0.063
0.417 0.302 0.563
0.583 0.698 0.437
0.583 0.802 0.937
0.759 0.163 0.439
0.759 0.337 0.939
0.881 0.531 0.234
0.881 0.969 0.734
```

***

DFT (PBE-GGA) results for a geometry-optimized NaNd2Te6Os structure.

Calculated values
- SG = P2_1/c, No. 14
- calculated volume (A^3/atom) = 29.97

Structure (POSCAR):
```
NaNd2Te6Os
1.0
7.639 0.000 0.000
0.000 7.898 0.000
-7.555 0.000 9.936
Na Nd Te Os
2 4 12 2
direct
0.000 0.000 0.000
0.000 0.500 0.500
0.211 0.134 0.755
0.211 0.366 0.255
0.789 0.634 0.745
0.789 0.866 0.245
0.133 0.158 0.442
0.133 0.342 0.942
0.281 0.702 0.424
0.281 0.798 0.924
0.441 0.034 0.264
0.441 0.466 0.764
0.559 0.534 0.236
0.559 0.966 0.736
0.719 0.202 0.076
0.719 0.298 0.576
0.867 0.658 0.058
0.867 0.842 0.558
0.500 0.000 0.500
0.500 0.500 0.000
```

***

DFT (PBE-GGA) results for a geometry-optimized Na3NdP2 structure.

Calculated values
- SG = Ibam, No. 72
- calculated volume (A^3/atom) = 29.56

Structure (POSCAR):
```
Na3NdP2
1.0
-3.507 7.126 3.548
3.507 -7.126 3.548
3.507 7.126 -3.548
Na Nd P
6 2 4
direct
0.216 0.629 0.845
0.250 0.250 0.000
0.284 0.129 0.413
0.716 0.871 0.587
0.750 0.750 0.000
0.784 0.371 0.155
0.250 0.750 0.500
0.750 0.250 0.500
0.106 0.279 0.385
0.394 0.779 0.172
0.606 0.221 0.828
0.894 0.721 0.615
```

***

DFT (PBE-GGA) results for a geometry-optimized NaNdPa structure.

Calculated values
- SG = F-43m, No. 216
- calculated volume (A^3/atom) = 32.06
- excess energy over the best structure of this formula in the dataset (eV/f.u.) = 0.00

Structure (POSCAR):
```
NaNdPa
1.0
0.000 3.636 3.636
3.636 0.000 3.636
3.636 3.636 0.000
Na Nd Pa
1 1 1
direct
0.000 0.000 0.000
0.250 0.250 0.250
0.500 0.500 0.500
```

***

DFT (PBE-GGA) results for a geometry-optimized NaNdPb2 structure.

Calculated values
- SG = P4/mmm, No. 123
- calculated volume (A^3/atom) = 28.90

Structure (POSCAR):
```
NaNdPb2
1.0
5.013 0.000 0.000
0.000 5.013 0.000
0.000 0.000 4.599
Na Nd Pb
1 1 2
direct
0.000 0.000 0.000
0.500 0.500 0.000
0.000 0.500 0.500
0.500 0.000 0.500
```

***

DFT (PBE-GGA) results for a geometry-optimized Na3Pr2NdPb3 structure.

Calculated values
- SG = P-6m2, No. 187
- calculated volume (A^3/atom) = 29.34

Structure (POSCAR):
```
Na3Pr2NdPb3
1.0
5.287 0.000 0.000
-2.643 4.578 0.000
0.000 0.000 10.909
Na Pr Nd Pb
3 2 1 3
direct
0.000 0.000 0.000
0.667 0.333 0.315
0.667 0.333 0.685
0.333 0.667 0.166
0.333 0.667 0.834
0.333 0.667 0.500
0.000 0.000 0.343
0.000 0.000 0.657
0.667 0.333 0.000
```

***

DFT (PBE-GGA) results for a geometry-optimized Na3Tb2NdPb3 structure.

Calculated values
- SG = P-6m2, No. 187
- calculated volume (A^3/atom) = 27.96

Structure (POSCAR):
```
Na3Tb2NdPb3
1.0
5.214 0.000 0.000
-2.607 4.515 0.000
0.000 0.000 10.689
Na Tb Nd Pb
3 2 1 3
direct
0.000 0.000 0.000
0.333 0.667 0.312
0.333 0.667 0.688
0.667 0.333 0.164
0.667 0.333 0.836
0.667 0.333 0.500
0.000 0.000 0.336
0.000 0.000 0.664
0.333 0.667 0.000
```

***

DFT (PBE-GGA) results for a geometry-optimized NaNdPd structure.

Calculated values
- SG = F-43m, No. 216
- calculated volume (A^3/atom) = 27.76
- excess energy over the best structure of this formula in the dataset (eV/f.u.) = 1.20

Structure (POSCAR):
```
NaNdPd
1.0
0.000 3.466 3.466
3.466 0.000 3.466
3.466 3.466 0.000
Na Nd Pd
1 1 1
direct
0.000 0.000 0.000
0.250 0.250 0.250
0.500 0.500 0.500
```

***

DFT (PBE-GGA) results for a geometry-optimized NaNdPd structure.

Calculated values
- SG = F-43m, No. 216
- calculated volume (A^3/atom) = 27.54
- excess energy over the best structure of this formula in the dataset (eV/f.u.) = 0.00

Structure (POSCAR):
```
NaNdPd
1.0
0.000 3.457 3.457
3.457 0.000 3.457
3.457 3.457 0.000
Na Nd Pd
1 1 1
direct
0.000 0.000 0.000
0.500 0.500 0.500
0.250 0.250 0.250
```

***

DFT (PBE-GGA) results for a geometry-optimized NaNdPdSe3 structure.

Calculated values
- SG = Cmcm, No. 63
- calculated volume (A^3/atom) = 25.57

Structure (POSCAR):
```
NaNdPdSe3
1.0
2.040 -7.203 0.000
2.040 7.203 0.000
0.000 0.000 10.445
Na Nd Pd Se
2 2 2 6
direct
0.239 0.761 0.750
0.761 0.239 0.250
0.000 0.000 0.000
0.000 0.000 0.500
0.491 0.509 0.250
0.509 0.491 0.750
0.100 0.900 0.250
0.364 0.636 0.086
0.364 0.636 0.414
0.636 0.364 0.586
0.636 0.364 0.914
0.900 0.100 0.750
```

***

DFT (PBE-GGA) results for a geometry-optimized NaNd3Pt8 structure.

Calculated values
- SG = R3m, No. 160
- calculated volume (A^3/atom) = 19.49

Structure (POSCAR):
```
NaNd3Pt8
1.0
2.745 1.585 8.963
-2.745 1.585 8.963
0.000 -3.169 8.963
Na Nd Pt
1 3 8
direct
0.000 0.000 0.000
0.366 0.366 0.366
0.494 0.494 0.494
0.879 0.879 0.879
0.184 0.184 0.184
0.435 0.435 0.931
0.435 0.931 0.435
0.436 0.934 0.934
0.684 0.684 0.684
0.931 0.435 0.435
0.934 0.436 0.934
0.934 0.934 0.436
```

***

DFT (PBE-GGA) results for a geometry-optimized NaNd4Pt2 structure.

Calculated values
- SG = P4/mmm, No. 123
- calculated volume (A^3/atom) = 27.33

Structure (POSCAR):
```
NaNd4Pt2
1.0
5.116 0.000 0.000
0.000 5.116 0.000
0.000 0.000 7.311
Na Nd Pt
1 4 2
direct
0.000 0.000 0.000
0.000 0.500 0.265
0.000 0.500 0.735
0.500 0.000 0.265
0.500 0.000 0.735
0.000 0.000 0.500
0.500 0.500 0.000
```

***

DFT (PBE-GGA) results for a geometry-optimized RbNaNd structure.

Calculated values
- SG = F-43m, No. 216
- calculated volume (A^3/atom) = 53.91
- excess energy over the best structure of this formula in the dataset (eV/f.u.) = 0.00

Structure (POSCAR):
```
RbNaNd
1.0
0.000 4.324 4.324
4.324 0.000 4.324
4.324 4.324 0.000
Rb Na Nd
1 1 1
direct
0.000 0.000 0.000
0.500 0.500 0.500
0.750 0.750 0.750
```

***

| no. | E (eV per atom) |
| --- | --- |
| 1 | -5.835 |
| 2 | -5.794 |
| 3 | -5.613 |
| 4 | -5.529 |
| 5 | -5.585 |
| 6 | -5.403 |
| 7 | -5.739 |
| 8 | -5.032 |
| 9 | -5.813 |
| 10 | -5.291 |
| 11 | -4.781 |
| 12 | -3.818 |
| 13 | -3.846 |
| 14 | -3.758 |
| 15 | -3.553 |
| 16 | -3.471 |
| 17 | -3.604 |
| 18 | -4.005 |
| 19 | -4.693 |
| 20 | -6.275 |
| 21 | -5.129 |
| 22 | -1.376 |